First-principles (PBE+U) data for a relaxed structure of MgFe2O4, as listed in the Alexandria database.

Output
offset from the most stable computed form = 244 meV/atom
space group = No. 8
E_tot = -347.80 eV per cell

Cell: 5.916 5.916 19.508 Å, 81.36 81.36 59.94°
Element x y z (fractional)
Fe1 0.498 0.498 0.998
Fe2 0.876 0.376 0.375
Fe3 0.624 0.131 0.625
Fe4 0.896 0.896 0.782
Fe5 0.100 0.100 0.217
Fe6 0.400 0.400 0.283
Fe7 0.625 0.124 0.124
Fe8 0.376 0.876 0.375
Fe9 0.865 0.371 0.877
Fe10 0.124 0.625 0.124
Fe11 0.353 0.353 0.466
Fe12 0.131 0.624 0.625
Fe13 0.651 0.651 0.534
Fe14 0.371 0.865 0.877
Fe15 0.251 0.251 0.749
Fe16 0.148 0.148 0.031
O1 0.434 0.978 0.686
O2 0.457 0.941 0.182
O3 0.815 0.815 0.072
O4 0.531 0.061 0.815
O5 0.814 0.293 0.567
O6 0.191 0.712 0.433
O7 0.178 0.178 0.933
O8 0.671 0.671 0.935
O9 0.941 0.457 0.182
O10 0.933 0.933 0.182
O11 0.978 0.434 0.686
O12 0.936 0.936 0.682
O13 0.183 0.183 0.432
O14 0.061 0.061 0.819
O15 0.569 0.569 0.317
O16 0.677 0.221 0.937
O17 0.061 0.531 0.815
O18 0.320 0.320 0.567
O19 0.561 0.042 0.316
O20 0.435 0.435 0.180
O21 0.221 0.677 0.937
O22 0.293 0.814 0.567
O23 0.786 0.312 0.062
O24 0.312 0.786 0.062
O25 0.068 0.068 0.318
O26 0.712 0.191 0.433
O27 0.322 0.322 0.063
O28 0.564 0.564 0.822
O29 0.433 0.433 0.682
O30 0.042 0.561 0.316
O31 0.685 0.685 0.431
O32 0.819 0.819 0.569
Mg1 0.626 0.626 0.124
Mg2 0.604 0.604 0.718
Mg3 0.001 0.001 0.501
Mg4 0.751 0.751 0.249
Mg5 0.846 0.846 0.970
Mg6 0.129 0.129 0.625
Mg7 0.373 0.373 0.876
Mg8 0.876 0.876 0.375